# ZrRuBr2, relaxed, DFT PBE
data_ZrRuBr2
_cell_length_a 3.6077
_cell_length_b 3.6077
_cell_length_c 7.5446
_cell_angle_alpha 90.00
_cell_angle_beta 90.00
_cell_angle_gamma 90.00
_symmetry_space_group_name_H-M 'P 1'
_symmetry_Int_Tables_number 1
loop_
_symmetry_equiv_pos_as_xyz
'x,y,z'
loop_
_atom_site_label
_atom_site_type_symbol
_atom_site_fract_x
_atom_site_fract_y
_atom_site_fract_z
Ru1 Ru 0.0000 0.0000 0.5675
Br1 Br 0.0000 0.0000 0.9094
Br2 Br 0.5000 0.5000 0.3314
Zr1 Zr 0.5000 0.5000 0.6917
# density	6.0	g cm⁻³

---

# Zr2RuBr, relaxed, DFT PBE
data_Zr2RuBr
_cell_length_a 5.9031
_cell_length_b 5.9031
_cell_length_c 7.6605
_cell_angle_alpha 67.34
_cell_angle_beta 67.34
_cell_angle_gamma 90.00
_symmetry_space_group_name_H-M 'P 1'
_symmetry_Int_Tables_number 1
loop_
_symmetry_equiv_pos_as_xyz
'x,y,z'
loop_
_atom_site_label
_atom_site_type_symbol
_atom_site_fract_x
_atom_site_fract_y
_atom_site_fract_z
Ru1 Ru 0.0000 0.0000 0.0000
Ru2 Ru 0.7500 0.2500 0.5000
Br1 Br 0.5000 0.5000 0.0000
Br2 Br 0.2500 0.7500 0.5000
Zr1 Zr 0.6689 0.1250 0.2500
Zr2 Zr 0.0811 0.6250 0.2500
Zr3 Zr 0.3750 0.3311 0.7500
Zr4 Zr 0.8750 0.9189 0.7500
# density	5.4	g cm⁻³

---

# ZrRuBr2, relaxed, DFT PBE
data_ZrRuBr2
_cell_length_a 4.8245
_cell_length_b 4.8245
_cell_length_c 4.8245
_cell_angle_alpha 60.00
_cell_angle_beta 60.00
_cell_angle_gamma 60.00
_symmetry_space_group_name_H-M 'P 1'
_symmetry_Int_Tables_number 1
loop_
_symmetry_equiv_pos_as_xyz
'x,y,z'
loop_
_atom_site_label
_atom_site_type_symbol
_atom_site_fract_x
_atom_site_fract_y
_atom_site_fract_z
Ru1 Ru 0.5000 0.5000 0.5000
Br1 Br 0.0000 0.0000 0.0000
Br2 Br 0.2500 0.2500 0.2500
Zr1 Zr 0.7500 0.7500 0.7500
# density	7.4	g cm⁻³

---

# ZrRuBr2, relaxed, DFT PBE
data_ZrRuBr2
_cell_length_a 7.1738
_cell_length_b 7.1738
_cell_length_c 7.1738
_cell_angle_alpha 152.15
_cell_angle_beta 144.96
_cell_angle_gamma 45.34
_symmetry_space_group_name_H-M 'P 1'
_symmetry_Int_Tables_number 1
loop_
_symmetry_equiv_pos_as_xyz
'x,y,z'
loop_
_atom_site_label
_atom_site_type_symbol
_atom_site_fract_x
_atom_site_fract_y
_atom_site_fract_z
Ru1 Ru 0.4676 0.4676 0.0000
Br1 Br 0.9761 0.9761 0.0000
Br2 Br 0.7223 0.2223 0.5000
Zr1 Zr 0.3340 0.8340 0.5000
# density	5.9	g cm⁻³

---

# Zr2RuBr, relaxed, DFT PBE
data_Zr2RuBr
_cell_length_a 4.5375
_cell_length_b 3.2463
_cell_length_c 6.3486
_cell_angle_alpha 59.44
_cell_angle_beta 90.00
_cell_angle_gamma 90.00
_symmetry_space_group_name_H-M 'P 1'
_symmetry_Int_Tables_number 1
loop_
_symmetry_equiv_pos_as_xyz
'x,y,z'
loop_
_atom_site_label
_atom_site_type_symbol
_atom_site_fract_x
_atom_site_fract_y
_atom_site_fract_z
Ru1 Ru 0.5000 0.6245 0.8750
Br1 Br 0.0000 0.6254 0.3751
Zr1 Zr 0.0000 0.1244 0.8750
Zr2 Zr 0.5000 0.1257 0.3749
# density	7.5	g cm⁻³

---

# ZrRuBr, relaxed, DFT PBE
data_ZrRuBr
_cell_length_a 4.4050
_cell_length_b 4.4050
_cell_length_c 3.2051
_cell_angle_alpha 90.00
_cell_angle_beta 90.00
_cell_angle_gamma 120.00
_symmetry_space_group_name_H-M 'P 1'
_symmetry_Int_Tables_number 1
loop_
_symmetry_equiv_pos_as_xyz
'x,y,z'
loop_
_atom_site_label
_atom_site_type_symbol
_atom_site_fract_x
_atom_site_fract_y
_atom_site_fract_z
Ru1 Ru 0.6667 0.3333 0.1667
Br1 Br 0.0000 0.0000 0.1664
Zr1 Zr 0.3333 0.6667 0.6670
# density	8.4	g cm⁻³

---

# ZrRuBr2, relaxed, DFT PBE
data_ZrRuBr2
_cell_length_a 3.7693
_cell_length_b 3.7955
_cell_length_c 7.6731
_cell_angle_alpha 78.18
_cell_angle_beta 90.00
_cell_angle_gamma 90.00
_symmetry_space_group_name_H-M 'P 1'
_symmetry_Int_Tables_number 1
loop_
_symmetry_equiv_pos_as_xyz
'x,y,z'
loop_
_atom_site_label
_atom_site_type_symbol
_atom_site_fract_x
_atom_site_fract_y
_atom_site_fract_z
Ru1 Ru 0.0000 0.3784 0.5959
Br1 Br 0.0000 0.9968 0.9067
Br2 Br 0.5000 0.3383 0.3460
Zr1 Zr 0.5000 0.7864 0.6513
# density	5.4	g cm⁻³

---

# ZrRu4Br, relaxed, DFT PBE
data_ZrRu4Br
_cell_length_a 5.2321
_cell_length_b 5.2321
_cell_length_c 5.2321
_cell_angle_alpha 60.00
_cell_angle_beta 60.00
_cell_angle_gamma 60.00
_symmetry_space_group_name_H-M 'P 1'
_symmetry_Int_Tables_number 1
loop_
_symmetry_equiv_pos_as_xyz
'x,y,z'
loop_
_atom_site_label
_atom_site_type_symbol
_atom_site_fract_x
_atom_site_fract_y
_atom_site_fract_z
Zr1 Zr 0.2500 0.2500 0.2500
Ru1 Ru 0.6247 0.6247 0.1260
Ru2 Ru 0.6247 0.1260 0.6247
Ru3 Ru 0.6247 0.6247 0.6247
Ru4 Ru 0.1260 0.6247 0.6247
Br1 Br 0.0000 0.0000 0.0000
# density	9.4	g cm⁻³

---

# Zr2RuBr, relaxed, DFT PBE
data_Zr2RuBr
_cell_length_a 4.9933
_cell_length_b 4.9933
_cell_length_c 4.9933
_cell_angle_alpha 132.68
_cell_angle_beta 115.51
_cell_angle_gamma 83.77
_symmetry_space_group_name_H-M 'P 1'
_symmetry_Int_Tables_number 1
loop_
_symmetry_equiv_pos_as_xyz
'x,y,z'
loop_
_atom_site_label
_atom_site_type_symbol
_atom_site_fract_x
_atom_site_fract_y
_atom_site_fract_z
Ru1 Ru 0.2500 0.7500 0.5000
Br1 Br 0.7500 0.2500 0.5000
Zr1 Zr 0.0109 0.0109 0.0000
Zr2 Zr 0.4891 0.4891 0.0000
# density	7.6	g cm⁻³

---

# Zr2RuBr, relaxed, DFT PBE
data_Zr2RuBr
_cell_length_a 9.5009
_cell_length_b 9.5009
_cell_length_c 9.5009
_cell_angle_alpha 20.19
_cell_angle_beta 20.19
_cell_angle_gamma 20.19
_symmetry_space_group_name_H-M 'P 1'
_symmetry_Int_Tables_number 1
loop_
_symmetry_equiv_pos_as_xyz
'x,y,z'
loop_
_atom_site_label
_atom_site_type_symbol
_atom_site_fract_x
_atom_site_fract_y
_atom_site_fract_z
Ru1 Ru 0.7365 0.7365 0.7365
Br1 Br 0.5090 0.5090 0.5090
Zr1 Zr 0.0084 0.0084 0.0084
Zr2 Zr 0.2461 0.2461 0.2461
# density	6.7	g cm⁻³

---

# ZrRuBr2, relaxed, DFT PBE
data_ZrRuBr2
_cell_length_a 4.7007
_cell_length_b 4.7007
_cell_length_c 4.7007
_cell_angle_alpha 60.00
_cell_angle_beta 60.00
_cell_angle_gamma 60.00
_symmetry_space_group_name_H-M 'P 1'
_symmetry_Int_Tables_number 1
loop_
_symmetry_equiv_pos_as_xyz
'x,y,z'
loop_
_atom_site_label
_atom_site_type_symbol
_atom_site_fract_x
_atom_site_fract_y
_atom_site_fract_z
Ru1 Ru 0.5000 0.5000 0.5000
Br1 Br 0.2500 0.2500 0.2500
Br2 Br 0.7500 0.7500 0.7500
Zr1 Zr 0.0000 0.0000 0.0000
# density	8.0	g cm⁻³

---

# Zr2RuBr, relaxed, DFT PBE
data_Zr2RuBr
_cell_length_a 4.8042
_cell_length_b 4.8042
_cell_length_c 4.8042
_cell_angle_alpha 60.00
_cell_angle_beta 60.00
_cell_angle_gamma 60.00
_symmetry_space_group_name_H-M 'P 1'
_symmetry_Int_Tables_number 1
loop_
_symmetry_equiv_pos_as_xyz
'x,y,z'
loop_
_atom_site_label
_atom_site_type_symbol
_atom_site_fract_x
_atom_site_fract_y
_atom_site_fract_z
Ru1 Ru 0.7500 0.7500 0.7500
Br1 Br 0.5000 0.5000 0.5000
Zr1 Zr 0.0000 0.0000 0.0000
Zr2 Zr 0.2500 0.2500 0.2500
# density	7.7	g cm⁻³

---

# ZrRuBr2, relaxed, DFT PBE
data_ZrRuBr2
_cell_length_a 3.4199
_cell_length_b 3.4199
_cell_length_c 8.9817
_cell_angle_alpha 90.00
_cell_angle_beta 90.00
_cell_angle_gamma 124.08
_symmetry_space_group_name_H-M 'P 1'
_symmetry_Int_Tables_number 1
loop_
_symmetry_equiv_pos_as_xyz
'x,y,z'
loop_
_atom_site_label
_atom_site_type_symbol
_atom_site_fract_x
_atom_site_fract_y
_atom_site_fract_z
Ru1 Ru 0.5000 0.5000 0.2500
Br1 Br 0.0000 0.0000 0.0028
Br2 Br 0.0000 0.0000 0.4972
Zr1 Zr 0.5000 0.5000 0.7500
# density	6.7	g cm⁻³

---

# ZrRuBr2, relaxed, DFT PBE
data_ZrRuBr2
_cell_length_a 9.0335
_cell_length_b 9.0335
_cell_length_c 9.0335
_cell_angle_alpha 21.08
_cell_angle_beta 21.08
_cell_angle_gamma 21.08
_symmetry_space_group_name_H-M 'P 1'
_symmetry_Int_Tables_number 1
loop_
_symmetry_equiv_pos_as_xyz
'x,y,z'
loop_
_atom_site_label
_atom_site_type_symbol
_atom_site_fract_x
_atom_site_fract_y
_atom_site_fract_z
Ru1 Ru 0.0000 0.0000 0.0000
Br1 Br 0.9081 0.9081 0.9081
Br2 Br 0.0919 0.0919 0.0919
Zr1 Zr 0.5000 0.5000 0.5000
# density	7.0	g cm⁻³

---

# Zr2RuBr, relaxed, DFT PBE
data_Zr2RuBr
_cell_length_a 4.8809
_cell_length_b 4.8809
_cell_length_c 3.2375
_cell_angle_alpha 90.00
_cell_angle_beta 90.00
_cell_angle_gamma 97.71
_symmetry_space_group_name_H-M 'P 1'
_symmetry_Int_Tables_number 1
loop_
_symmetry_equiv_pos_as_xyz
'x,y,z'
loop_
_atom_site_label
_atom_site_type_symbol
_atom_site_fract_x
_atom_site_fract_y
_atom_site_fract_z
Ru1 Ru 0.0000 0.5000 0.5000
Br1 Br 0.5000 0.0000 0.5000
Zr1 Zr 0.0000 0.0000 0.0000
Zr2 Zr 0.5000 0.5000 0.0000
# density	7.9	g cm⁻³

---

# ZrRuBr3, relaxed, DFT PBE
data_ZrRuBr3
_cell_length_a 5.0100
_cell_length_b 5.0100
_cell_length_c 5.0100
_cell_angle_alpha 90.00
_cell_angle_beta 90.00
_cell_angle_gamma 90.00
_symmetry_space_group_name_H-M 'P 1'
_symmetry_Int_Tables_number 1
loop_
_symmetry_equiv_pos_as_xyz
'x,y,z'
loop_
_atom_site_label
_atom_site_type_symbol
_atom_site_fract_x
_atom_site_fract_y
_atom_site_fract_z
Ru1 Ru 0.0000 0.0000 0.0000
Br1 Br 0.0000 0.5000 0.0000
Br2 Br 0.0000 0.0000 0.5000
Br3 Br 0.5000 0.0000 0.0000
Zr1 Zr 0.5000 0.5000 0.5000
# density	5.7	g cm⁻³

---

# Zr2RuBr, relaxed, DFT PBE
data_Zr2RuBr
_cell_length_a 3.1915
_cell_length_b 3.1915
_cell_length_c 7.8265
_cell_angle_alpha 90.00
_cell_angle_beta 90.00
_cell_angle_gamma 90.03
_symmetry_space_group_name_H-M 'P 1'
_symmetry_Int_Tables_number 1
loop_
_symmetry_equiv_pos_as_xyz
'x,y,z'
loop_
_atom_site_label
_atom_site_type_symbol
_atom_site_fract_x
_atom_site_fract_y
_atom_site_fract_z
Ru1 Ru 0.5000 0.5000 0.7500
Br1 Br 0.5000 0.5000 0.2500
Zr1 Zr 0.0000 0.0000 0.9656
Zr2 Zr 0.0000 0.0000 0.5344
# density	7.6	g cm⁻³

---

# Zr4RuBr, relaxed, DFT PBE
data_Zr4RuBr
_cell_length_a 5.6854
_cell_length_b 5.6854
_cell_length_c 5.6854
_cell_angle_alpha 60.00
_cell_angle_beta 60.00
_cell_angle_gamma 60.00
_symmetry_space_group_name_H-M 'P 1'
_symmetry_Int_Tables_number 1
loop_
_symmetry_equiv_pos_as_xyz
'x,y,z'
loop_
_atom_site_label
_atom_site_type_symbol
_atom_site_fract_x
_atom_site_fract_y
_atom_site_fract_z
Zr1 Zr 0.8810 0.3730 0.3730
Zr2 Zr 0.3730 0.3730 0.8810
Zr3 Zr 0.3730 0.8810 0.3730
Zr4 Zr 0.3730 0.3730 0.3730
Ru1 Ru 0.0000 0.0000 0.0000
Br1 Br 0.7500 0.7500 0.7500
# density	7.0	g cm⁻³

---

# Zr2RuBr, relaxed, DFT PBE
data_Zr2RuBr
_cell_length_a 3.1962
_cell_length_b 3.1962
_cell_length_c 9.4944
_cell_angle_alpha 90.00
_cell_angle_beta 90.00
_cell_angle_gamma 114.22
_symmetry_space_group_name_H-M 'P 1'
_symmetry_Int_Tables_number 1
loop_
_symmetry_equiv_pos_as_xyz
'x,y,z'
loop_
_atom_site_label
_atom_site_type_symbol
_atom_site_fract_x
_atom_site_fract_y
_atom_site_fract_z
Ru1 Ru 0.5000 0.5000 0.7884
Br1 Br 0.0000 0.0000 0.4780
Zr1 Zr 0.0000 0.0000 0.9788
Zr2 Zr 0.5000 0.5000 0.2548
# density	6.8	g cm⁻³

---

# ZrRuBr, relaxed, DFT PBE
data_ZrRuBr
_cell_length_a 6.2477
_cell_length_b 6.2422
_cell_length_c 3.2291
_cell_angle_alpha 75.11
_cell_angle_beta 74.92
_cell_angle_gamma 29.97
_symmetry_space_group_name_H-M 'P 1'
_symmetry_Int_Tables_number 1
loop_
_symmetry_equiv_pos_as_xyz
'x,y,z'
loop_
_atom_site_label
_atom_site_type_symbol
_atom_site_fract_x
_atom_site_fract_y
_atom_site_fract_z
Ru1 Ru 0.6897 0.6897 0.3103
Br1 Br 0.9942 0.9942 0.0058
Zr1 Zr 0.3161 0.3161 0.6839
# density	7.5	g cm⁻³

---

Number 1: total DFT energy (no corrections) -5.65 eV/atom. Number 2: total DFT energy (no corrections) -6.75 eV/atom. Number 3: total DFT energy (no corrections) -4.97 eV/atom. Number 4: total DFT energy (no corrections) -5.56 eV/atom. Number 5: total DFT energy (no corrections) -7.22 eV/atom. Number 6: total DFT energy (no corrections) -6.52 eV/atom. Number 7: total DFT energy (no corrections) -5.74 eV/atom. Number 8: total DFT energy (no corrections) -7.37 eV/atom. Number 9: total DFT energy (no corrections) -7.11 eV/atom. Number 10: total DFT energy (no corrections) -7.17 eV/atom. Number 11: total DFT energy (no corrections) -5.03 eV/atom. Number 12: total DFT energy (no corrections) -6.52 eV/atom. Number 13: total DFT energy (no corrections) -4.94 eV/atom. Number 14: total DFT energy (no corrections) -5.25 eV/atom. Number 15: total DFT energy (no corrections) -7.14 eV/atom. Number 16: total DFT energy (no corrections) -4.09 eV/atom. Number 17: total DFT energy (no corrections) -7.44 eV/atom. Number 18: total DFT energy (no corrections) -6.88 eV/atom. Number 19: total DFT energy (no corrections) -7.05 eV/atom. Number 20: total DFT energy (no corrections) -6.67 eV/atom.